Record 1
A plane-wave DFT calculation with PBE was carried out for a relaxed K2Sc2Sb2O crystal.

Space group ... No. 139
Uncorrected formation energy ... -31.40 kcal/mol of atoms

Lattice parameters (Å, degrees): 4.508 4.508 18.347 90.00 90.00 90.00
Fractional positions:
K 0.000 0.000 0.179
K 0.000 0.000 0.821
K 0.500 0.500 0.321
K 0.500 0.500 0.679
Sc 0.000 0.500 0.000
Sc 0.000 0.500 0.500
Sc 0.500 0.000 0.000
Sc 0.500 0.000 0.500
Sb 0.000 0.000 0.390
Sb 0.000 0.000 0.610
Sb 0.500 0.500 0.110
Sb 0.500 0.500 0.890
O 0.000 0.000 0.000
O 0.500 0.500 0.500

Record 2
A plane-wave DFT calculation with PBE was carried out for a relaxed Ho2Er2Al3 crystal.

E above lowest polymorph ... 0.0059 eV per atom
Space group ... No. 65
Energy of formation ... -0.281 eV per atom

Lattice parameters (Å, degrees): 3.520 27.970 3.529 90.00 90.00 90.00
Fractional positions:
Ho 0.000 0.194 0.000
Ho 0.000 0.806 0.000
Ho 0.500 0.306 0.000
Ho 0.500 0.694 0.000
Er 0.000 0.064 0.000
Er 0.000 0.936 0.000
Er 0.500 0.436 0.000
Er 0.500 0.564 0.000
Al 0.000 0.370 0.500
Al 0.000 0.500 0.500
Al 0.000 0.630 0.500
Al 0.500 0.000 0.500
Al 0.500 0.130 0.500
Al 0.500 0.870 0.500

Record 3
A plane-wave DFT calculation with PBE was carried out for a relaxed Dy6HgIr crystal.

Space group ... No. 2
Energy of formation ... -0.186 eV per atom

Lattice parameters (Å, degrees): 6.870 6.877 7.456 90.08 117.33 119.94
Fractional positions:
Dy 0.033 0.080 0.254
Dy 0.301 0.721 0.254
Dy 0.325 0.547 0.746
Dy 0.675 0.453 0.254
Dy 0.699 0.279 0.746
Dy 0.967 0.920 0.746
Hg 0.500 0.000 0.000
Ir 0.500 0.500 0.500

Record 4
A plane-wave DFT calculation with PBE was carried out for a relaxed BaMg2Tl10 crystal.

Space group ... No. 69
Energy of formation ... -0.081 eV per atom

Lattice parameters (Å, degrees): 11.171 8.552 8.485 81.94 49.29 48.77
Fractional positions:
Ba 0.000 0.000 0.000
Mg 0.000 0.500 0.000
Mg 0.500 0.000 0.500
Tl 0.000 0.000 0.500
Tl 0.008 0.355 0.645
Tl 0.286 0.492 0.508
Tl 0.355 0.008 0.992
Tl 0.492 0.286 0.714
Tl 0.500 0.500 0.000
Tl 0.508 0.714 0.286
Tl 0.645 0.992 0.008
Tl 0.714 0.508 0.492
Tl 0.992 0.645 0.355

Record 5
A plane-wave DFT calculation with PBE was carried out for a relaxed LiBSbTe2 crystal.

E above lowest polymorph ... 0.0000 eV per atom
Space group ... No. 123
Uncorrected formation energy ... 10.36 kcal/mol of atoms

Lattice parameters (Å, degrees): 5.269 5.269 4.458 90.00 90.00 90.00
Fractional positions:
Li 0.000 0.000 0.000
B 0.500 0.500 0.500
Sb 0.500 0.500 0.000
Te 0.000 0.500 0.500
Te 0.500 0.000 0.500

Record 6
A plane-wave DFT calculation with PBE was carried out for a relaxed BaEuZnSb crystal.

Space group ... No. 216
Uncorrected formation energy ... -13.38 kcal/mol of atoms

Lattice parameters (Å, degrees): 8.076 8.076 8.076 90.00 90.00 90.00
Fractional positions:
Ba 0.000 0.000 0.000
Ba 0.000 0.500 0.500
Ba 0.500 0.000 0.500
Ba 0.500 0.500 0.000
Eu 0.000 0.000 0.500
Eu 0.000 0.500 0.000
Eu 0.500 0.000 0.000
Eu 0.500 0.500 0.500
Zn 0.250 0.250 0.250
Zn 0.250 0.750 0.750
Zn 0.750 0.250 0.750
Zn 0.750 0.750 0.250
Sb 0.250 0.250 0.750
Sb 0.250 0.750 0.250
Sb 0.750 0.250 0.250
Sb 0.750 0.750 0.750

Record 7
A plane-wave DFT calculation with PBE was carried out for a relaxed CoBiSe2 crystal.

E above lowest polymorph ... 0.0000 eV per atom
Space group ... No. 166
Uncorrected formation energy ... -5.54 kcal/mol of atoms

Lattice parameters (Å, degrees): 3.560 3.560 25.085 90.00 90.00 120.00
Fractional positions:
Co 0.000 0.000 0.000
Co 0.333 0.667 0.667
Co 0.667 0.333 0.333
Bi 0.000 0.000 0.500
Bi 0.333 0.667 0.167
Bi 0.667 0.333 0.833
Se 0.000 0.000 0.381
Se 0.000 0.000 0.619
Se 0.333 0.667 0.048
Se 0.333 0.667 0.285
Se 0.667 0.333 0.715
Se 0.667 0.333 0.952

Record 8
A plane-wave DFT calculation with PBE was carried out for a relaxed Nd2YPu crystal.

E above lowest polymorph ... 0.0417 eV per atom
Space group ... No. 123
Energy of formation ... 0.155 eV per atom

Lattice parameters (Å, degrees): 5.084 5.084 5.027 90.00 90.00 90.00
Fractional positions:
Nd 0.000 0.500 0.000
Nd 0.500 0.000 0.000
Y 0.000 0.000 0.500
Pu 0.500 0.500 0.500